Record 1
# CaScPtPb

An optimized crystal structure of CaScPtPb (GGA-PBE, Alexandria).

Structure (CIF):
```
data_CaScPtPb
_space_group_name_H-M_alt 'F -4 3 m'
_space_group_IT_number 216
_space_group_name_Hall 'F -4 2 3'
_cell_length_a 7.1414
_cell_length_b 7.1414
_cell_length_c 7.1414
_cell_angle_alpha 90.00
_cell_angle_beta 90.00
_cell_angle_gamma 90.00
loop_
_atom_site_label
_atom_site_type_symbol
_atom_site_fract_x
_atom_site_fract_y
_atom_site_fract_z
Ca1 Ca 0.0000 0.0000 0.0000
Sc1 Sc 0.0000 0.0000 0.5000
Pt1 Pt 0.2500 0.2500 0.2500
Pb1 Pb 0.2500 0.2500 0.7500
```

The value obtained for the formation energy from the elements is -0.62 eV/atom. The size of the total moment comes out at 0.00 Bohr magnetons per cell. The total energy is -5.14 eV per atom.

---

Record 2
# MnNbVW

An optimized crystal structure of MnNbVW (GGA-PBE, Alexandria).

Structure (CIF):
```
data_MnNbVW
_space_group_name_H-M_alt 'F -4 3 m'
_space_group_IT_number 216
_space_group_name_Hall 'F -4 2 3'
_cell_length_a 6.1470
_cell_length_b 6.1470
_cell_length_c 6.1470
_cell_angle_alpha 90.00
_cell_angle_beta 90.00
_cell_angle_gamma 90.00
loop_
_atom_site_label
_atom_site_type_symbol
_atom_site_fract_x
_atom_site_fract_y
_atom_site_fract_z
Mn1 Mn 0.0000 0.0000 0.0000
Nb1 Nb 0.2500 0.2500 0.7500
V1 V 0.0000 0.0000 0.5000
W1 W 0.2500 0.2500 0.2500
```

The value obtained for the formation energy from the elements is -0.05 eV/atom. The size of the total moment comes out at 0.00 Bohr magnetons per cell. The total energy is -10.38 eV per atom.

---

Record 3
# Li2MgSi

An optimized crystal structure of Li2MgSi (GGA-PBE, Alexandria).

Structure (CIF):
```
data_Li2MgSi
_space_group_name_H-M_alt 'P 4/m m m'
_space_group_IT_number 123
_space_group_name_Hall '-P 4 2'
_cell_length_a 2.7616
_cell_length_b 2.7616
_cell_length_c 8.9123
_cell_angle_alpha 90.00
_cell_angle_beta 90.00
_cell_angle_gamma 90.00
loop_
_atom_site_label
_atom_site_type_symbol
_atom_site_fract_x
_atom_site_fract_y
_atom_site_fract_z
Li1 Li 0.0000 0.0000 0.2173
Mg1 Mg 0.5000 0.5000 0.5000
Si1 Si 0.5000 0.5000 0.0000
```

The size of the total moment comes out at 0.00 Bohr magnetons per cell. The uncorrected formation energy is -1.4 kcal/mol of atoms. The total energy is -2.77 eV per atom.

---

Record 4
# TiSi3Sb

An optimized crystal structure of TiSi3Sb (GGA-PBE, Alexandria).

Structure (CIF):
```
data_TiSi3Sb
_space_group_name_H-M_alt 'P m -3 m'
_space_group_IT_number 221
_space_group_name_Hall '-P 4 2 3'
_cell_length_a 4.8299
_cell_length_b 4.8299
_cell_length_c 4.8299
_cell_angle_alpha 90.00
_cell_angle_beta 90.00
_cell_angle_gamma 90.00
loop_
_atom_site_label
_atom_site_type_symbol
_atom_site_fract_x
_atom_site_fract_y
_atom_site_fract_z
Ti1 Ti 0.0000 0.0000 0.0000
Si1 Si 0.0000 0.0000 0.5000
Sb1 Sb 0.5000 0.5000 0.5000
```

The size of the total moment comes out at 0.00 Bohr magnetons per cell. The uncorrected formation energy is 15.1 kcal/mol of atoms. The total energy is -5.00 eV per atom. The value obtained for the distance to the lowest polymorph of the same formula is 0.00 eV/f.u.

---

Record 5
# La2CdCoSn

An optimized crystal structure of La2CdCoSn (GGA-PBE, Alexandria).

Structure (CIF):
```
data_La2CdCoSn
_space_group_name_H-M_alt 'P 4/m m m'
_space_group_IT_number 123
_space_group_name_Hall '-P 4 2'
_cell_length_a 5.3186
_cell_length_b 5.3186
_cell_length_c 4.9083
_cell_angle_alpha 90.00
_cell_angle_beta 90.00
_cell_angle_gamma 90.00
loop_
_atom_site_label
_atom_site_type_symbol
_atom_site_fract_x
_atom_site_fract_y
_atom_site_fract_z
La1 La 0.0000 0.5000 0.0000
Cd1 Cd 0.0000 0.0000 0.5000
Co1 Co 0.5000 0.5000 0.0000
Sn1 Sn 0.5000 0.5000 0.5000
```

The value obtained for the formation energy from the elements is -0.37 eV/atom. The size of the total moment comes out at 0.00 Bohr magnetons per cell. The total energy is -4.75 eV per atom. The value obtained for the distance to the lowest polymorph of the same formula is 0.00 eV/f.u.

---

Record 6
# P3IrCl

An optimized crystal structure of P3IrCl (GGA-PBE, Alexandria).

Structure (CIF):
```
data_P3IrCl
_space_group_name_H-M_alt 'P m -3 m'
_space_group_IT_number 221
_space_group_name_Hall '-P 4 2 3'
_cell_length_a 4.6887
_cell_length_b 4.6887
_cell_length_c 4.6887
_cell_angle_alpha 90.00
_cell_angle_beta 90.00
_cell_angle_gamma 90.00
loop_
_atom_site_label
_atom_site_type_symbol
_atom_site_fract_x
_atom_site_fract_y
_atom_site_fract_z
P1 P 0.0000 0.0000 0.5000
Ir1 Ir 0.0000 0.0000 0.0000
Cl1 Cl 0.5000 0.5000 0.5000
```

The size of the total moment comes out at 1.88 Bohr magnetons per cell. The uncorrected formation energy is 16.9 kcal/mol of atoms. The total energy is -4.65 eV per atom. The value obtained for the distance to the lowest polymorph of the same formula is 0.00 eV/f.u.

---

Record 7
# CrHgIr2

An optimized crystal structure of CrHgIr2 (GGA-PBE, Alexandria).

Structure (CIF):
```
data_CrHgIr2
_space_group_name_H-M_alt 'R -3 m'
_space_group_IT_number 166
_space_group_name_Hall '-R 3 2"'
_cell_length_a 2.7983
_cell_length_b 2.7983
_cell_length_c 27.4502
_cell_angle_alpha 90.00
_cell_angle_beta 90.00
_cell_angle_gamma 120.00
loop_
_atom_site_label
_atom_site_type_symbol
_atom_site_fract_x
_atom_site_fract_y
_atom_site_fract_z
Cr1 Cr 0.0000 0.0000 0.0000
Hg1 Hg 0.0000 0.0000 0.5000
Ir1 Ir 0.0000 0.0000 0.2617
```

The value obtained for the formation energy from the elements is 0.15 eV/atom. The size of the total moment comes out at 0.00 Bohr magnetons per cell. The total energy is -6.76 eV per atom.

---

Record 8
# Li6Tl2Sn

An optimized crystal structure of Li6Tl2Sn (GGA-PBE, Alexandria).

Structure (CIF):
```
data_Li6Tl2Sn
_space_group_name_H-M_alt 'P 6/m m m'
_space_group_IT_number 191
_space_group_name_Hall '-P 6 2'
_cell_length_a 8.1641
_cell_length_b 8.1641
_cell_length_c 2.9794
_cell_angle_alpha 90.00
_cell_angle_beta 90.00
_cell_angle_gamma 120.00
loop_
_atom_site_label
_atom_site_type_symbol
_atom_site_fract_x
_atom_site_fract_y
_atom_site_fract_z
Li1 Li 0.0000 0.3294 0.0000
Tl1 Tl 0.3333 0.6667 0.5000
Sn1 Sn 0.0000 0.0000 0.5000
```

The value obtained for the formation energy from the elements is -0.26 eV/atom. The size of the total moment comes out at 0.00 Bohr magnetons per cell. The total energy is -2.51 eV per atom. The value obtained for the distance to the lowest polymorph of the same formula is 0.00 eV/f.u.

---

Record 9
# TmHfZr

An optimized crystal structure of TmHfZr (GGA-PBE, Alexandria).

Structure (CIF):
```
data_TmHfZr
_space_group_name_H-M_alt 'C m c m'
_space_group_IT_number 63
_space_group_name_Hall '-C 2c 2'
_cell_length_a 3.2266
_cell_length_b 19.5239
_cell_length_c 4.7143
_cell_angle_alpha 90.00
_cell_angle_beta 90.00
_cell_angle_gamma 90.00
loop_
_atom_site_label
_atom_site_type_symbol
_atom_site_fract_x
_atom_site_fract_y
_atom_site_fract_z
Tm1 Tm 0.0000 0.0506 0.2500
Hf1 Hf 0.0000 0.3682 0.2500
Zr1 Zr 0.0000 0.2100 0.2500
```

The value obtained for the formation energy from the elements is 0.12 eV/atom. The size of the total moment comes out at 0.00 Bohr magnetons per cell. The total energy is -7.53 eV per atom. The value obtained for the distance to the lowest polymorph of the same formula is 0.06 eV/f.u.

---

Record 10
# TaHg2Pt

An optimized crystal structure of TaHg2Pt (GGA-PBE, Alexandria).

Structure (CIF):
```
data_TaHg2Pt
_space_group_name_H-M_alt 'P 4 m m'
_space_group_IT_number 99
_space_group_name_Hall 'P 4 -2'
_cell_length_a 2.9892
_cell_length_b 2.9892
_cell_length_c 8.6882
_cell_angle_alpha 90.00
_cell_angle_beta 90.00
_cell_angle_gamma 90.00
loop_
_atom_site_label
_atom_site_type_symbol
_atom_site_fract_x
_atom_site_fract_y
_atom_site_fract_z
Ta1 Ta 0.0000 0.0000 0.0000
Hg1 Hg 0.0000 0.0000 0.5441
Hg2 Hg 0.5000 0.5000 0.2502
Pt1 Pt 0.5000 0.5000 0.7982
```

The value obtained for the formation energy from the elements is -0.03 eV/atom. The size of the total moment comes out at 0.00 Bohr magnetons per cell. The total energy is -4.66 eV per atom. The value obtained for the distance to the lowest polymorph of the same formula is 0.00 eV/f.u.